[1]
A plane-wave DFT calculation with PBE was carried out for crystalline CaMnCd at its relaxed geometry.

Structure (extended XYZ):
```
3
Lattice="0.000 3.542 3.542 3.542 0.000 3.542 3.542 3.542 0.000" Properties=species:S:1:pos:R:3 pbc="T T T"
Ca 0.000 0.000 0.000
Mn 5.313 5.313 5.313
Cd 1.771 1.771 1.771
```

Values from the calculation:
Symmetry: F-43m
DFT total energy in eV per atom: -3.309
Crystal system: cubic
DOS at the Fermi energy in states/eV per cell: 3.49


[2]
A plane-wave DFT calculation with PBE was carried out for crystalline TbThCCl at its relaxed geometry.

Structure (extended XYZ):
```
4
Lattice="3.133 -1.816 0.000 3.133 1.816 0.000 -2.085 0.000 7.350" Properties=species:S:1:pos:R:3 pbc="T T T"
Tb 0.000 0.000 0.000
Th 4.179 0.000 2.779
C 2.089 0.000 1.332
Cl 0.004 0.000 5.225
```

Values from the calculation:
Symmetry: Cm
Formation energy from raw total energies in eV/atom: -1.02
Crystal system: monoclinic
DOS at the Fermi energy in states/eV per cell: 1.01


[3]
A plane-wave DFT calculation with PBE was carried out for crystalline PrTmGaSi at its relaxed geometry.

Structure (extended XYZ):
```
4
Lattice="4.000 0.000 0.000 0.000 2.183 5.475 0.000 -2.183 5.475" Properties=species:S:1:pos:R:3 pbc="T T T"
Pr 0.000 0.000 0.000
Tm 2.000 0.000 3.076
Ga 2.000 0.000 6.277
Si 0.000 0.000 7.881
```

Values from the calculation:
Symmetry: Amm2
Formation energy from raw total energies in eV/atom: -0.69
Crystal system: orthorhombic
DOS at the Fermi energy in states/eV per cell: 3.03


[4]
A plane-wave DFT calculation with PBE was carried out for crystalline LaAg2Au at its relaxed geometry.

Structure (extended XYZ):
```
4
Lattice="4.343 0.000 0.000 0.000 4.343 0.000 0.000 0.000 4.991" Properties=species:S:1:pos:R:3 pbc="T T T"
La 0.000 0.000 0.000
Ag 0.000 2.171 2.495
Ag 2.171 0.000 2.495
Au 2.171 2.171 0.000
```

Values from the calculation:
Symmetry: P4/mmm
DFT total energy in eV per atom: -3.707
Crystal system: tetragonal
DOS at the Fermi energy in states/eV per cell: 3.01


[5]
A plane-wave DFT calculation with PBE was carried out for crystalline SrSb2Rh at its relaxed geometry.

Structure (extended XYZ):
```
4
Lattice="5.110 0.000 0.000 0.000 4.344 0.000 -1.722 0.000 4.889" Properties=species:S:1:pos:R:3 pbc="T T T"
Sr 0.000 0.000 0.000
Sb 0.461 2.172 3.361
Sb 2.927 2.172 1.528
Rh 1.694 0.000 2.444
```

Values from the calculation:
Symmetry: P2/m
Formation energy from raw total energies in eV/atom: -0.61
Crystal system: monoclinic
DOS at the Fermi energy in states/eV per cell: 1.91


[6]
A plane-wave DFT calculation with PBE was carried out for crystalline CuAg3 at its relaxed geometry.

Structure (extended XYZ):
```
4
Lattice="2.865 0.000 0.000 0.000 2.865 0.000 0.000 0.000 8.073" Properties=species:S:1:pos:R:3 pbc="T T T"
Cu 0.000 0.000 0.000
Ag 0.000 0.000 4.036
Ag 1.432 1.432 1.859
Ag 1.432 1.432 6.214
```

Values from the calculation:
Symmetry: P4/mmm
DFT total energy in eV per atom: -3.086
Crystal system: tetragonal
DOS at the Fermi energy in states/eV per cell: 1.85


[7]
A plane-wave DFT calculation with PBE was carried out for crystalline Ca2TmPbS4 at its relaxed geometry.

Structure (extended XYZ):
```
8
Lattice="6.972 0.000 0.000 0.000 4.016 0.000 -2.346 0.000 6.679" Properties=species:S:1:pos:R:3 pbc="T T T"
Ca 0.000 0.000 0.000
Ca -1.173 2.008 3.339
Tm 2.313 0.000 3.339
Pb 3.486 2.008 0.000
S 0.003 0.000 4.888
S 1.160 2.008 1.769
S 3.466 2.008 4.910
S 4.623 0.000 1.791
```

Values from the calculation:
Symmetry: P2/m
Formation energy from raw total energies in eV/atom: -1.62
Crystal system: monoclinic
DOS at the Fermi energy in states/eV per cell: 3.05


[8]
A plane-wave DFT calculation with PBE was carried out for crystalline MgRe2Br at its relaxed geometry.

Structure (extended XYZ):
```
4
Lattice="2.593 -4.664 0.000 2.593 4.664 0.000 0.000 0.000 2.863" Properties=species:S:1:pos:R:3 pbc="T T T"
Mg 0.000 0.000 0.000
Re 1.297 2.332 1.431
Re 1.297 -2.332 1.431
Br 2.593 0.000 0.000
```

Values from the calculation:
Symmetry: Cmmm
Formation energy from raw total energies in eV/atom: 1.16
Crystal system: orthorhombic
DOS at the Fermi energy in states/eV per cell: 4.97